# 1
## GdThIn2 (PBE-GGA)

Data for an optimized crystal structure of GdThIn2.

Calculated values
**Space group**: P4/mmm, No. 123
**Uncorrected energy**: -28.54 eV per cell
**Polymorph energy (0 for the lowest one)**: 0.000 eV per atom
**Formation energy**: -0.391 eV/atom

Cell lengths 3.512, 3.512, 9.050 Å; angles 90.00, 90.00, 90.00 degrees
Each line ends with the local moment (μB).
Element x y z (fractional)
In (0.000, 0.000, 0.256)  -0.01
Gd (0.500, 0.500, 0.500)  7.20
Th (0.500, 0.500, 0.000)  -0.06
In (0.000, 0.000, 0.744)  -0.01

---

# 2
## Tb4PmDy2Ho2 (PBE-GGA)

Data for an optimized crystal structure of Tb4PmDy2Ho2.

Calculated values
**Space group**: C2/m, No. 12
**Uncorrected energy**: -41.40 eV per cell
**Formation energy**: 0.026 eV/atom

Cell lengths 3.565, 8.781, 9.619 Å; angles 101.17, 90.00, 101.71 degrees
Element x y z (fractional)
Tb (0.484, 0.968, 0.673)
Dy (0.152, 0.304, 0.591)
Dy (0.848, 0.696, 0.409)
Tb (0.516, 0.032, 0.327)
Ho (0.336, 0.671, 0.079)
Tb (0.178, 0.357, 0.242)
Pm (0.000, 0.000, 0.000)
Tb (0.822, 0.643, 0.758)
Ho (0.664, 0.329, 0.921)

---

# 3
## K2AlHg (PBE-GGA)

Data for an optimized crystal structure of K2AlHg.

Calculated values
**Space group**: Fm-3m, No. 225
**Uncorrected energy**: -5.36 eV per cell
**Polymorph energy (0 for the lowest one)**: 0.213 eV per atom
**Formation energy**: 0.220 eV/atom

Cell lengths 5.924, 5.924, 5.924 Å; angles 60.00, 60.00, 60.00 degrees
Each line ends with the local moment (μB).
Element x y z (fractional)
K (0.750, 0.750, 0.750)  0.01
K (0.250, 0.250, 0.250)  0.01
Hg (0.500, 0.500, 0.500)  0.03
Al (0.000, 0.000, 0.000)  0.07

---

# 4
## CrRhW2 (PBE-GGA)

Data for an optimized crystal structure of CrRhW2.

Calculated values
**Space group**: Fm-3m, No. 225
**Uncorrected energy**: -41.77 eV per cell
**Polymorph energy (0 for the lowest one)**: 0.184 eV per atom
**Formation energy**: 0.277 eV/atom

Cell lengths 4.367, 4.367, 4.367 Å; angles 60.00, 60.00, 60.00 degrees
Element x y z (fractional)
W (0.250, 0.250, 0.250)
Rh (0.500, 0.500, 0.500)
W (0.750, 0.750, 0.750)
Cr (0.000, 0.000, 0.000)

---

# 5
## Os4W (PBE-GGA)

Data for an optimized crystal structure of Os4W.

Calculated values
**Space group**: I4/mmm, No. 139
**Uncorrected energy**: -53.98 eV per cell
**Polymorph energy (0 for the lowest one)**: 0.695 eV per atom
**Formation energy**: 0.779 eV/atom

Cell lengths 6.472, 6.472, 6.472 Å; angles 146.53, 146.53, 48.05 degrees
Element x y z (fractional)
Os (0.250, 0.750, 0.500)
Os (0.750, 0.250, 0.500)
W (0.000, 0.000, 0.000)
Os (0.400, 0.400, 0.000)
Os (0.600, 0.600, 0.000)

---

# 6
## V3AgGe (PBE-GGA)

Data for an optimized crystal structure of V3AgGe.

Calculated values
**Space group**: Pm-3m, No. 221
**Uncorrected energy**: -29.88 eV per cell
**Polymorph energy (0 for the lowest one)**: 0.000 eV per atom
**Formation energy**: 0.988 eV/atom

Cell lengths 4.534, 4.534, 4.534 Å; angles 90.00, 90.00, 90.00 degrees
Each line ends with the local moment (μB).
Element x y z (fractional)
V (0.000, 0.500, 0.000)  0.84
Ge (0.000, 0.000, 0.000)  -0.05
Ag (0.500, 0.500, 0.500)  0.01
V (0.500, 0.000, 0.000)  0.84
V (0.000, 0.000, 0.500)  0.84

---

# 7
## UNiOs2 (PBE-GGA)

Data for an optimized crystal structure of UNiOs2.

Calculated values
**Space group**: P4/mmm, No. 123
**Uncorrected energy**: -40.34 eV per cell
**Polymorph energy (0 for the lowest one)**: 0.000 eV per atom
**Formation energy**: -0.203 eV/atom

Cell lengths 3.852, 4.027, 4.027 Å; angles 90.00, 90.00, 90.00 degrees
Element x y z (fractional)
U (0.500, 0.500, 0.500)
Os (0.000, 0.000, 0.500)
Ni (0.500, 0.000, 0.000)
Os (0.000, 0.500, 0.000)

---

# 8
## UAsPbO5 (PBE-GGA)

Data for an optimized crystal structure of UAsPbO5.

Calculated values
**Space group**: C2/c, No. 15
**Uncorrected energy**: -121.13 eV per cell

Cell lengths 6.227, 6.227, 8.719 Å; angles 109.82, 109.82, 100.05 degrees
Each line ends with the local moment (μB).
Element x y z (fractional)
O (0.963, 0.037, 0.750)  -0.03
U (0.000, 0.000, 0.500)  1.06
O (0.237, 0.384, 0.627)  -0.01
As (0.302, 0.698, 0.750)  0.00
U (0.000, 0.000, 0.000)  1.06
O (0.308, 0.898, 0.564)  -0.03
Pb (0.700, 0.300, 0.750)  0.00
O (0.102, 0.692, 0.936)  -0.03
O (0.692, 0.102, 0.436)  -0.03
O (0.037, 0.963, 0.250)  -0.03
O (0.616, 0.763, 0.873)  -0.01
O (0.384, 0.237, 0.127)  -0.01
O (0.763, 0.616, 0.373)  -0.01
As (0.698, 0.302, 0.250)  0.00
O (0.898, 0.308, 0.064)  -0.03
Pb (0.300, 0.700, 0.250)  0.00

---

Question: Number 3 is which compound?
Answer: K2AlHg